*one*
VASP calculation (PBE) on an optimized crystal structure of Cd5S4Cl2.

extended XYZ file:
```
11
Lattice="-2.197 -4.634 -5.748 2.066 -4.906 -5.568 -0.759 -8.913 4.517" Properties=species:S:1:pos:R:3 pbc="T T T"
Cd -0.774 -12.761 -0.952
Cd -0.767 -10.484 2.322
Cd -0.473 -6.492 1.392
Cd -0.319 -8.085 -4.654
Cd -0.306 -10.035 -7.936
S -0.657 -8.124 3.289
S -0.205 -5.622 -3.647
S -0.178 -7.527 -7.174
S -0.453 -10.694 -5.445
Cl -0.650 -10.319 -0.204
Cl -0.485 -13.440 -8.833
```

Volume in Å³/cell: 308.6

=====

*two*
VASP calculation (PBE) on an optimized crystal structure of Cd5S4Cl2.

extended XYZ file:
```
22
Lattice="-0.138 -3.615 -9.480 1.085 -9.324 3.852 -6.776 7.523 -0.669" Properties=species:S:1:pos:R:3 pbc="T T T"
Cd 0.710 -9.704 -4.221
Cd 0.237 -3.235 -1.407
Cd -4.016 -3.340 -1.881
Cd -1.201 -4.931 2.251
Cd -1.813 -2.076 -4.415
Cd -4.628 -0.486 -8.547
Cd -3.410 -5.252 -6.266
Cd -2.419 -0.164 -0.030
Cd -5.248 1.988 -5.455
Cd -0.581 -7.405 -0.841
S -3.426 -4.119 3.071
S -1.954 -1.922 -1.732
S -6.311 4.085 -4.632
S 0.172 -5.261 0.180
S -2.403 -1.297 -9.367
S -3.874 -3.494 -4.564
S 0.482 -9.501 -1.664
S -6.000 -0.155 -6.476
Cl -2.015 -6.615 -2.899
Cl -3.814 1.198 -3.397
Cl -1.169 -4.584 -7.425
Cl -4.660 -0.832 1.129
```

Volume in Å³/cell: 616.4

=====

Energies relative to the most stable structure, in eV/atom: *one* 0.000; *two* 0.028.

=====

*one*
VASP calculation (PBE) on an optimized crystal structure of CdS3Cl.

extended XYZ file:
```
5
Lattice="-1.876 -3.292 -2.794 1.213 -3.325 3.104 -4.144 0.517 2.173" Properties=species:S:1:pos:R:3 pbc="T T T"
S 0.606 -1.663 1.552
S -2.072 0.259 1.087
S -0.938 -1.646 -1.397
Cl 0.000 0.000 0.000
Cd -2.404 -3.050 1.241
```

Volume in Å³/cell: 104.3

=====

*two*
VASP calculation (PBE) on an optimized crystal structure of CdS3Cl.

extended XYZ file:
```
10
Lattice="5.976 0.077 0.596 0.052 7.777 0.103 0.591 0.098 7.023" Properties=species:S:1:pos:R:3 pbc="T T T"
Cd 4.757 4.146 2.963
Cd 2.044 6.562 6.154
S 5.486 4.012 6.397
S 3.236 6.987 0.882
S 0.578 3.650 4.132
S 2.175 6.725 2.561
S 0.341 4.239 0.181
S 3.604 6.374 3.969
Cl 2.953 2.838 2.041
Cl 6.183 7.878 5.795
```

Volume in Å³/cell: 323.6

=====

Energies relative to the most stable structure, in eV/atom: *one* 1.102; *two* 0.000.

=====

*one*
VASP calculation (PBE) on an optimized crystal structure of CdSCl3.

extended XYZ file:
```
5
Lattice="-5.169 0.545 0.346 -0.425 -0.777 -5.134 -0.486 -5.122 0.816" Properties=species:S:1:pos:R:3 pbc="T T T"
S -3.040 -2.677 -1.986
Cl -0.213 -0.389 -2.567
Cl -0.243 -2.561 0.408
Cl -2.585 0.273 0.173
Cd 0.000 0.000 0.000
```

Volume in Å³/cell: 141.4

=====

*two*
VASP calculation (PBE) on an optimized crystal structure of CdSCl3.

extended XYZ file:
```
5
Lattice="-4.102 -2.432 1.269 -0.122 -2.118 -4.455 2.741 -3.735 1.701" Properties=species:S:1:pos:R:3 pbc="T T T"
S 0.000 0.000 0.000
Cl -0.061 -1.059 -2.228
Cl 1.370 -1.867 0.850
Cl -2.051 -1.216 0.634
Cd -0.742 -4.143 -0.743
```

Volume in Å³/cell: 120.2

=====

Energies relative to the most stable structure, in eV/atom: *one* 0.000; *two* 0.026.

=====

*one*
VASP calculation (PBE) on an optimized crystal structure of CdSbSCl2.

extended XYZ file:
```
5
Lattice="5.324 0.000 0.000 0.000 5.324 0.000 0.000 0.000 5.151" Properties=species:S:1:pos:R:3 pbc="T T T"
Sb 0.000 0.000 0.000
S 0.000 0.000 2.575
Cl 0.000 2.662 0.000
Cl 2.662 0.000 0.000
Cd 2.662 2.662 2.575
```

Volume in Å³/cell: 146.0

=====

*two*
VASP calculation (PBE) on an optimized crystal structure of CdSbSCl2.

extended XYZ file:
```
5
Lattice="-0.350 -2.130 4.500 -3.291 -3.287 -1.811 4.010 -3.320 -1.260" Properties=species:S:1:pos:R:3 pbc="T T T"
Sb 0.185 -4.369 0.715
S 2.005 -1.660 -0.630
Cl -1.645 -1.643 -0.906
Cl -0.175 -1.065 2.250
Cd 0.000 0.000 0.000
```

Volume in Å³/cell: 133.4

=====

Energies relative to the most stable structure, in eV/atom: *one* 0.000; *two* 0.168.

=====

*one*
VASP calculation (PBE) on an optimized crystal structure of ScCdS2Cl.

extended XYZ file:
```
5
Lattice="-1.940 -3.820 2.568 0.063 -2.808 -4.131 4.551 -1.554 1.126" Properties=species:S:1:pos:R:3 pbc="T T T"
Sc 1.337 -4.091 -0.219
S 0.031 -1.404 -2.065
S -0.970 -1.910 1.284
Cl 2.276 -0.777 0.563
Cd 0.000 0.000 0.000
```

Volume in Å³/cell: 123.3

=====

*two*
VASP calculation (PBE) on an optimized crystal structure of ScCdS2Cl.

extended XYZ file:
```
5
Lattice="5.005 0.000 0.000 0.000 5.005 0.000 0.000 0.000 4.838" Properties=species:S:1:pos:R:3 pbc="T T T"
Sc 0.000 0.000 0.000
S 0.000 2.502 0.000
S 2.502 0.000 0.000
Cl 0.000 0.000 2.419
Cd 2.502 2.502 2.419
```

Volume in Å³/cell: 121.2

=====

Energies relative to the most stable structure, in eV/atom: *one* 0.644; *two* 0.000.

=====

*one*
VASP calculation (PBE) on an optimized crystal structure of CdSeSCl2.

extended XYZ file:
```
5
Lattice="-1.585 3.980 2.603 -3.747 -2.734 1.899 2.910 -1.337 3.816" Properties=species:S:1:pos:R:3 pbc="T T T"
S 1.455 -0.669 1.908
Cl -1.874 -1.367 0.949
Cl -0.792 1.990 1.302
Se 0.000 0.000 0.000
Cd -1.211 -0.046 4.159
```

Volume in Å³/cell: 125.2

=====

*two*
VASP calculation (PBE) on an optimized crystal structure of CdSeSCl2.

extended XYZ file:
```
5
Lattice="4.995 0.000 0.000 0.000 4.995 0.000 0.000 0.000 5.459" Properties=species:S:1:pos:R:3 pbc="T T T"
S 0.000 0.000 2.729
Cl 0.000 2.497 0.000
Cl 2.497 0.000 0.000
Se 2.497 2.497 2.729
Cd 0.000 0.000 0.000
```

Volume in Å³/cell: 136.2

=====

Energies relative to the most stable structure, in eV/atom: *one* 0.000; *two* 0.170.